Density functional theory data (PBE) for an optimized crystal structure of IrRh2Pb.

For the energy relative to the elements, the calculation gives 0.21 eV per atom. As for the volume: 66 Å³ per cell. The calculated total energy comes out at -6.608 eV/atom. The crystal system is tetragonal. Its density of states at the Fermi level is 5.928 states/eV/f.u.

It has space group P4/mmm (No. 123), with a = 4.068 Å, b = 4.068 Å, c = 3.966 Å, α = 90.00°, β = 90.00° and γ = 90.00°. The asymmetric unit holds Ir at (0.000, 0.000, 0.000), Rh at (0.000, 0.500, 0.500) and Pb at (0.500, 0.500, 0.000).